1.
VASP calculation (PBE-GGA) on a geometry-optimized FeReAs2 structure.

The calculation puts the formation energy at 0.120 eV/atom. For the density, the calculation gives 10.24 g/cm3. For the excess energy over the best structure of this formula in the dataset, the calculation gives 0.029 eV/atom.

It has space group Pm (No. 6), with a = 3.1073 Å, b = 4.6500 Å, c = 4.6598 Å, α = 90.00°, β = 109.36° and γ = 90.00°. The asymmetric unit holds Fe at (0.0000, 0.0000, 0.0000), Re at (0.5827, 0.5000, 0.1655), As at (0.7025, 0.0000, 0.4086) and As at (0.8742, 0.5000, 0.7458).

---

2.
VASP calculation (PBE-GGA) on a geometry-optimized FeRe2As structure.

The calculation puts the formation energy at 0.256 eV/atom. For the density, the calculation gives 14.97 g/cm3. For the excess energy over the best structure of this formula in the dataset, the calculation gives 0.090 eV/atom.

It has space group P4/mmm (No. 123), with a = 3.0044 Å, b = 3.0044 Å, c = 6.1829 Å, α = 90.00°, β = 90.00° and γ = 90.00°. The asymmetric unit holds Fe at (0.0000, 0.0000, 0.0000), Re at (0.5000, 0.5000, 0.2435) and As at (0.0000, 0.0000, 0.5000).

---

3.
VASP calculation (PBE-GGA) on a geometry-optimized FeRe2As structure.

The calculation puts the formation energy at 0.462 eV/atom. For the density, the calculation gives 14.50 g/cm3. For the excess energy over the best structure of this formula in the dataset, the calculation gives 0.296 eV/atom.

It has space group F-43m (No. 216), with a = 6.1318 Å, b = 6.1318 Å, c = 6.1318 Å, α = 90.00°, β = 90.00° and γ = 90.00°. The asymmetric unit holds Fe at (0.0000, 0.0000, 0.0000), Re at (0.0000, 0.0000, 0.5000), Re at (0.2500, 0.2500, 0.7500) and As at (0.2500, 0.2500, 0.2500).

---

4.
VASP calculation (PBE-GGA) on a geometry-optimized FeReAs2 structure.

The calculation puts the formation energy at 0.296 eV/atom. For the density, the calculation gives 10.94 g/cm3. For the excess energy over the best structure of this formula in the dataset, the calculation gives 0.206 eV/atom.

It has space group C2/m (No. 12), with a = 7.9494 Å, b = 3.0563 Å, c = 4.9469 Å, α = 90.00°, β = 98.34° and γ = 90.00°. The asymmetric unit holds Fe at (0.0000, 0.0000, 0.0000), Re at (0.0000, 0.5000, 0.5000) and As at (0.2382, 0.0000, 0.7469).

---

- The highest excess energy over the best structure of this formula in the dataset belongs to which entry?
  number 3

---

- Which of these has the highest excess energy over the best structure of this formula in the dataset?
  number 3

---

Copy entry 1 word for word.
VASP calculation (PBE-GGA) on a geometry-optimized FeReAs2 structure.

The calculation puts the formation energy at 0.120 eV/atom. For the density, the calculation gives 10.24 g/cm3. For the excess energy over the best structure of this formula in the dataset, the calculation gives 0.029 eV/atom.

It has space group Pm (No. 6), with a = 3.1073 Å, b = 4.6500 Å, c = 4.6598 Å, α = 90.00°, β = 109.36° and γ = 90.00°. The asymmetric unit holds Fe at (0.0000, 0.0000, 0.0000), Re at (0.5827, 0.5000, 0.1655), As at (0.7025, 0.0000, 0.4086) and As at (0.8742, 0.5000, 0.7458).